PdSeF2: relaxed, PBE.

Calculated values
Total DFT energy (no corrections) ... -57.43 eV per cell
N(E_F) ... 0.95 states/eV/atom
Raw formation energy ... -484 meV per atom
Magnetization ... 0.00 μB per formula unit

Lattice parameters (Å, degrees): 8.1878 8.1878 4.7145 90.00 90.00 90.00
With the nearest neighbours (Å) after each atom.
Space group I-42d (No. 122)
One atom of each set of equivalent atoms:
Pd 0.0000 0.0000 0.0000 x4  2 Se 2.36
Se 0.0000 0.0000 0.5000 x4  4 F 2.21, 2 Pd 2.36
F 0.0698 0.2500 0.6250 x8  2 Se 2.21